1.
The following is a GGA-PBE calculation of crystalline Pm4GeSe3 at its relaxed geometry, from the Alexandria database.

E_form (uncorrected) = -1673 meV/atom
Final energy = -0.4360 Ry/atom
N(E_F) = 3.47 states/eV per cell

Unit cell a=5.959 b=5.959 c=5.959 alpha=90.00 beta=90.00 gamma=90.00
Fractional positions:
Pm 0.000 0.000 0.000
Pm 0.000 0.500 0.500
Pm 0.500 0.000 0.500
Pm 0.500 0.500 0.000
Ge 0.500 0.500 0.500
Se 0.000 0.000 0.500
Se 0.000 0.500 0.000
Se 0.500 0.000 0.000


2.
The following is a GGA-PBE calculation of crystalline Pm8Ge4Se3 at its relaxed geometry, from the Alexandria database.

E_form (uncorrected) = -1213 meV/atom
Final energy = -0.4171 Ry/atom
N(E_F) = 6.35 states/eV per cell

Unit cell a=8.460 b=8.460 c=8.418 alpha=119.82 beta=119.82 gamma=90.05
Fractional positions:
Pm 0.244 0.756 0.000
Pm 0.246 0.246 0.009
Pm 0.247 0.247 0.492
Pm 0.252 0.748 0.500
Pm 0.748 0.252 0.500
Pm 0.753 0.753 0.508
Pm 0.754 0.754 0.991
Pm 0.756 0.244 0.000
Ge 0.000 0.000 0.000
Ge 0.000 0.500 0.500
Ge 0.500 0.000 0.500
Ge 0.500 0.500 0.500
Se 0.000 0.000 0.500
Se 0.000 0.500 0.000
Se 0.500 0.000 0.000


3.
The following is a GGA-PBE calculation of crystalline Pm2Ge2Se5 at its relaxed geometry, from the Alexandria database.

E_form (uncorrected) = -990 meV/atom
Final energy = -0.3680 Ry/atom

Unit cell a=10.504 b=10.504 c=10.504 alpha=60.34 beta=138.92 gamma=137.82
Fractional positions:
Pm 0.004 0.114 0.118
Pm 0.004 0.386 0.390
Pm 0.996 0.614 0.610
Pm 0.996 0.886 0.882
Ge 0.422 0.691 0.231
Ge 0.460 0.191 0.769
Ge 0.542 0.042 0.500
Ge 0.542 0.542 0.000
Se 0.048 0.239 0.732
Se 0.048 0.816 0.309
Se 0.234 0.299 0.435
Se 0.495 0.783 0.003
Se 0.495 0.993 0.213
Se 0.507 0.316 0.268
Se 0.507 0.739 0.691
Se 0.780 0.283 0.787
Se 0.780 0.493 0.997
Se 0.864 0.799 0.565


> Among the records above, which one has the highest E_form (uncorrected)?

Pm2Ge2Se5


> Among the records above, which one has the highest final energy?

Pm2Ge2Se5


> Among the records above, which one has the highest E_form (uncorrected)?

Pm2Ge2Se5


> What is the formula in the first record?

Pm4GeSe3